First-principles (GGA-PBE) data for a geometry-optimized Cs3Cd4Hg2 structure, as listed in the Alexandria database. Values from VASP.

Summary:
space-group type	C2/m
V	380.3	Å³ per cell
DFT formation energy	-95	kJ/mol of formula units
offset from the most stable computed form	0.000	eV/atom

Structure (Quantum ESPRESSO input):
```
&SYSTEM
  ibrav = 0, nat = 9, ntyp = 3
/
ATOMIC_SPECIES
Cs 132.91 Cs.upf
Cd 112.41 Cd.upf
Hg 200.59 Hg.upf
CELL_PARAMETERS angstrom
6.939 -2.529 0.000
6.939 2.529 0.000
-4.797 0.000 10.836
ATOMIC_POSITIONS angstrom
Cs 0.000 0.000 0.000
Cs 4.157 0.000 3.370
Cs 4.924 0.000 7.465
Cd 0.423 0.000 4.704
Cd -0.791 0.000 10.226
Cd 9.872 0.000 0.610
Cd 8.658 0.000 6.131
Hg 1.031 0.000 7.777
Hg 8.049 0.000 3.058
```

First-principles (GGA-PBE) data for a geometry-optimized CsCd6Hg12 structure, as listed in the Alexandria database. Values from VASP.

Summary:
space-group type	R-3m
V	539.0	Å³ per cell
DFT formation energy	-62	kJ/mol of formula units

Structure (Quantum ESPRESSO input):
```
&SYSTEM
  ibrav = 0, nat = 19, ntyp = 3
/
ATOMIC_SPECIES
Cs 132.91 Cs.upf
Cd 112.41 Cd.upf
Hg 200.59 Hg.upf
CELL_PARAMETERS angstrom
6.605 3.813 3.567
-6.605 3.813 3.567
0.000 -7.627 3.567
ATOMIC_POSITIONS angstrom
Cs 0.000 0.000 0.000
Cd 0.000 -3.245 4.525
Cd -2.811 1.623 4.525
Cd -2.811 -1.623 6.175
Cd 2.811 1.623 4.525
Cd 2.811 -1.623 6.175
Cd 0.000 3.245 6.175
Hg -2.567 -4.446 5.350
Hg -5.134 0.000 5.350
Hg -1.676 -0.968 3.330
Hg 1.676 -0.968 3.330
Hg 0.000 1.936 3.330
Hg 2.567 -4.446 5.350
Hg -2.567 4.446 5.350
Hg 0.000 -1.936 7.370
Hg -1.676 0.968 7.370
Hg 1.676 0.968 7.370
Hg 5.134 0.000 5.350
Hg 2.567 4.446 5.350
```

no.,VASP energy (eV per atom)
1,-0.87
2,-0.56